! MnZn2Ir GGA-PBE relaxed; values from VASP
! crystal system = tetragonal
! total DFT energy (no corrections) = -5.2662 eV per atom
! symmetry = I-4m2 (119)
&SYSTEM
  ibrav = 0, nat = 8, ntyp = 3
/
ATOMIC_SPECIES
Mn 54.94 Mn.upf
Zn 65.41 Zn.upf
Ir 192.22 Ir.upf
CELL_PARAMETERS angstrom
3.8524 0.0000 0.0000
0.0000 3.8524 0.0000
0.0000 0.0000 7.6016
ATOMIC_POSITIONS crystal
Mn 0.0000 0.0000 0.0000
Mn 0.5000 0.5000 0.5000
Zn 0.0000 0.0000 0.5000
Zn 0.0000 0.5000 0.7500
Zn 0.5000 0.0000 0.2500
Zn 0.5000 0.5000 0.0000
Ir 0.0000 0.5000 0.2500
Ir 0.5000 0.0000 0.7500

=====

! Ti3NbN GGA-PBE relaxed; values from VASP
! crystal system = cubic
! raw formation energy = 1.957 eV per atom
! symmetry = Pm-3m (221)
&SYSTEM
  ibrav = 0, nat = 5, ntyp = 3
/
ATOMIC_SPECIES
Ti 47.87 Ti.upf
Nb 92.91 Nb.upf
N 14.01 N.upf
CELL_PARAMETERS angstrom
4.7399 0.0000 0.0000
0.0000 4.7399 0.0000
0.0000 0.0000 4.7399
ATOMIC_POSITIONS crystal
Ti 0.0000 0.0000 0.5000
Ti 0.0000 0.5000 0.0000
Ti 0.5000 0.0000 0.0000
Nb 0.0000 0.0000 0.0000
N 0.5000 0.5000 0.5000

=====

! La2Pr3NdEr6 GGA-PBE relaxed; values from VASP
! crystal system = monoclinic
! total DFT energy (no corrections) = -4.6804 eV per atom
! symmetry = C2/m (12)
&SYSTEM
  ibrav = 0, nat = 12, ntyp = 4
/
ATOMIC_SPECIES
La 138.91 La.upf
Pr 140.91 Pr.upf
Nd 144.24 Nd.upf
Er 167.26 Er.upf
CELL_PARAMETERS angstrom
3.1429 -5.4419 0.0000
3.1429 5.4419 0.0000
-2.0932 0.0000 11.6318
ATOMIC_POSITIONS crystal
La 0.1666 0.8334 0.0000
La 0.8334 0.1666 0.0000
Pr 0.0000 0.0000 0.5000
Pr 0.3335 0.6665 0.5000
Pr 0.6665 0.3335 0.5000
Nd 0.5000 0.5000 0.0000
Er 0.0835 0.4162 0.7493
Er 0.2512 0.2512 0.2507
Er 0.4162 0.0835 0.7493
Er 0.5838 0.9165 0.2507
Er 0.7488 0.7488 0.7493
Er 0.9165 0.5838 0.2507

=====

! BeHgAu2 GGA-PBE relaxed; values from VASP
! crystal system = trigonal
! total DFT energy (no corrections) = -2.6237 eV per atom
! symmetry = R3m (160)
&SYSTEM
  ibrav = 0, nat = 12, ntyp = 3
/
ATOMIC_SPECIES
Be 9.01 Be.upf
Hg 200.59 Hg.upf
Au 196.97 Au.upf
CELL_PARAMETERS angstrom
3.8250 0.0000 0.0000
-1.9125 3.3125 0.0000
0.0000 0.0000 17.4880
ATOMIC_POSITIONS crystal
Be 0.0000 0.0000 0.0000
Be 0.3333 0.6667 0.6667
Be 0.6667 0.3333 0.3333
Hg 0.0000 0.0000 0.1650
Hg 0.3333 0.6667 0.8317
Hg 0.6667 0.3333 0.4984
Au 0.0000 0.0000 0.3879
Au 0.0000 0.0000 0.6094
Au 0.3333 0.6667 0.0546
Au 0.3333 0.6667 0.2760
Au 0.6667 0.3333 0.7212
Au 0.6667 0.3333 0.9427

=====

! AlReHg2 GGA-PBE relaxed; values from VASP
! crystal system = monoclinic
! total DFT energy (no corrections) = -3.6521 eV per atom
! symmetry = P2/m (10)
&SYSTEM
  ibrav = 0, nat = 4, ntyp = 3
/
ATOMIC_SPECIES
Al 26.98 Al.upf
Re 186.21 Re.upf
Hg 200.59 Hg.upf
CELL_PARAMETERS angstrom
4.9881 0.0000 0.0000
0.0000 2.9638 0.0000
-1.7240 0.0000 4.8660
ATOMIC_POSITIONS crystal
Al 0.0000 0.0000 0.0000
Re 0.5000 0.5000 0.0000
Hg 0.0000 0.5000 0.5000
Hg 0.5000 0.0000 0.5000

=====

! Zn2BHCl GGA-PBE relaxed; values from VASP
! crystal system = tetragonal
! total DFT energy (no corrections) = -1.3037 eV per atom
! symmetry = P4/mmm (123)
&SYSTEM
  ibrav = 0, nat = 5, ntyp = 4
/
ATOMIC_SPECIES
Zn 65.41 Zn.upf
B 10.81 B.upf
H 1.01 H.upf
Cl 35.45 Cl.upf
CELL_PARAMETERS angstrom
6.5036 0.0000 0.0000
0.0000 6.5036 0.0000
0.0000 0.0000 3.8683
ATOMIC_POSITIONS crystal
Zn 0.0000 0.5000 0.0000
Zn 0.5000 0.0000 0.0000
B 0.0000 0.0000 0.5000
H 0.5000 0.5000 0.5000
Cl 0.0000 0.0000 0.0000

=====

! Sm6YMg GGA-PBE relaxed; values from VASP
! crystal system = triclinic
! total DFT energy (no corrections) = -4.4383 eV per atom
! symmetry = P-1 (2)
&SYSTEM
  ibrav = 0, nat = 8, ntyp = 3
/
ATOMIC_SPECIES
Sm 150.36 Sm.upf
Y 88.91 Y.upf
Mg 24.30 Mg.upf
CELL_PARAMETERS angstrom
6.4367 0.0000 0.0000
-0.7321 6.3961 0.0000
-0.7182 -0.8075 6.3526
ATOMIC_POSITIONS crystal
Sm 0.0254 0.2601 0.0533
Sm 0.2600 0.5529 0.5258
Sm 0.4470 0.9749 0.2400
Sm 0.5530 0.0251 0.7600
Sm 0.7400 0.4471 0.4742
Sm 0.9746 0.7399 0.9467
Y 0.0000 0.0000 0.5000
Mg 0.5000 0.5000 0.0000

=====

! Er5Pd2Au2 GGA-PBE relaxed; values from VASP
! crystal system = orthorhombic
! total DFT energy (no corrections) = -5.2253 eV per atom
! symmetry = Cmce (64)
&SYSTEM
  ibrav = 0, nat = 18, ntyp = 3
/
ATOMIC_SPECIES
Er 167.26 Er.upf
Pd 106.42 Pd.upf
Au 196.97 Au.upf
CELL_PARAMETERS angstrom
7.6007 -3.7112 0.0000
7.6007 3.7112 0.0000
0.0000 0.0000 7.6304
ATOMIC_POSITIONS crystal
Er 0.0000 0.0000 0.0000
Er 0.0368 0.6927 0.6707
Er 0.1927 0.5368 0.1707
Er 0.3073 0.9632 0.6707
Er 0.4632 0.8073 0.1707
Er 0.5000 0.5000 0.5000
Er 0.5368 0.1927 0.8293
Er 0.6927 0.0368 0.3293
Er 0.8073 0.4632 0.8293
Er 0.9632 0.3073 0.3293
Pd 0.1293 0.8707 0.3687
Pd 0.3707 0.6293 0.8687
Pd 0.6293 0.3707 0.1313
Pd 0.8707 0.1293 0.6313
Au 0.2054 0.2054 0.0000
Au 0.2946 0.2946 0.5000
Au 0.7054 0.7054 0.5000
Au 0.7946 0.7946 0.0000

=====

! MgUMn GGA-PBE relaxed; values from VASP
! crystal system = triclinic
! total DFT energy (no corrections) = -7.2036 eV per atom
! symmetry = P-1 (2)
&SYSTEM
  ibrav = 0, nat = 6, ntyp = 3
/
ATOMIC_SPECIES
Mg 24.30 Mg.upf
U 238.03 U.upf
Mn 54.94 Mn.upf
CELL_PARAMETERS angstrom
2.9597 0.0000 0.0000
-0.8624 4.5292 0.0000
-0.2479 -2.2420 7.9997
ATOMIC_POSITIONS crystal
Mg 0.1896 0.2980 0.0756
Mg 0.8104 0.7020 0.9244
U 0.2197 0.3096 0.5913
U 0.7803 0.6904 0.4087
Mn 0.4363 0.0332 0.7356
Mn 0.5637 0.9668 0.2644

=====

! Er4CdTc GGA-PBE relaxed; values from VASP
! crystal system = trigonal
! total DFT energy (no corrections) = -4.8784 eV per atom
! symmetry = R-3m (166)
&SYSTEM
  ibrav = 0, nat = 6, ntyp = 3
/
ATOMIC_SPECIES
Er 167.26 Er.upf
Cd 112.41 Cd.upf
Tc 98.00 Tc.upf
CELL_PARAMETERS angstrom
2.5569 1.4762 7.5923
-2.5569 1.4762 7.5923
0.0000 -2.9525 7.5923
ATOMIC_POSITIONS crystal
Er 0.1174 0.1174 0.1174
Er 0.3616 0.3616 0.3616
Er 0.6384 0.6384 0.6384
Er 0.8826 0.8826 0.8826
Cd 0.5000 0.5000 0.5000
Tc 0.0000 0.0000 0.0000

=====

! SrCaMgHg2 GGA-PBE relaxed; values from VASP
! crystal system = tetragonal
! total DFT energy (no corrections) = -0.8486 eV per atom
! symmetry = P4/mmm (123)
&SYSTEM
  ibrav = 0, nat = 5, ntyp = 4
/
ATOMIC_SPECIES
Sr 87.62 Sr.upf
Ca 40.08 Ca.upf
Mg 24.30 Mg.upf
Hg 200.59 Hg.upf
CELL_PARAMETERS angstrom
5.9240 0.0000 0.0000
0.0000 5.9240 0.0000
0.0000 0.0000 6.1444
ATOMIC_POSITIONS crystal
Sr 0.0000 0.0000 0.0000
Ca 0.5000 0.5000 0.5000
Mg 0.0000 0.0000 0.5000
Hg 0.0000 0.5000 0.0000
Hg 0.5000 0.0000 0.0000

=====

! PrSm2Zn2 GGA-PBE relaxed; values from VASP
! crystal system = monoclinic
! total DFT energy (no corrections) = -3.5931 eV per atom
! symmetry = P2_1/m (11)
&SYSTEM
  ibrav = 0, nat = 10, ntyp = 3
/
ATOMIC_SPECIES
Pr 140.91 Pr.upf
Sm 150.36 Sm.upf
Zn 65.41 Zn.upf
CELL_PARAMETERS angstrom
3.7106 0.0000 0.0000
0.0000 5.3036 0.0000
-1.8603 0.0000 13.5561
ATOMIC_POSITIONS crystal
Pr 0.1434 0.2500 0.2839
Pr 0.8566 0.7500 0.7161
Sm 0.0464 0.7500 0.0931
Sm 0.2322 0.7500 0.4651
Sm 0.7678 0.2500 0.5349
Sm 0.9536 0.2500 0.9069
Zn 0.3591 0.2500 0.7197
Zn 0.4531 0.7500 0.9070
Zn 0.5469 0.2500 0.0930
Zn 0.6409 0.7500 0.2803

=====

| no. | magnetic moment (μB per formula unit) |
| --- | --- |
| 1 | 3.85 |
| 2 | 2.30 |
| 3 | 0.00 |
| 4 | 0.00 |
| 5 | 0.00 |
| 6 | 0.34 |
| 7 | 0.00 |
| 8 | 0.00 |
| 9 | 0.00 |
| 10 | 0.00 |
| 11 | 0.00 |
| 12 | 0.00 |